Compound: RbZr2NiRu
Source: the Alexandria database
Functional: PBE
Structure: relaxed

a = 5.0214 Å, b = 5.0214 Å, c = 5.0586 Å
α = 90.00°, β = 90.00°, γ = 90.00°
With the nearest neighbours (Å) after each atom.
Space group P4/mmm (No. 123)
One atom of each set of equivalent atoms:
Rb 0.0000 0.0000 0.0000 [1 per cell]  4 Ni 3.55, 8 Zr 3.56
Zr 0.0000 0.5000 0.5000 [2 per cell]  2 Ru 2.51
Ni 0.5000 0.5000 0.0000 [1 per cell]  2 Ru 2.53
Ru 0.5000 0.5000 0.5000 [1 per cell]  4 Zr 2.51, 2 Ni 2.53

Results
Calculated volume (Å³/atom): 25.5
Energy (eV per atom): -5.94
Crystal system: tetragonal
Formation enthalpy at 0 K (kJ per mole of atoms): 65.9